Computed, not measured: an optimized crystal structure of NaMoP2O6 at the GGA+U level of DFT.

Geometry as CIF:
```
data_NaMoP2O6
_cell_length_a 5.2078
_cell_length_b 5.2078
_cell_length_c 17.3975
_cell_angle_alpha 90.00
_cell_angle_beta 90.00
_cell_angle_gamma 120.00
_space_group_name_H-M_alt 'R -3'
_space_group_IT_number 148
_space_group_name_Hall '-R 3'
loop_
_atom_site_label
_atom_site_type_symbol
_atom_site_fract_x
_atom_site_fract_y
_atom_site_fract_z
Na1 Na 0.0000 0.0000 0.0000
Mo1 Mo 0.0000 0.0000 0.5000
P1 P 0.0000 0.0000 0.2623
O1 O 0.0262 0.3004 0.2397
```

Summary:
N(E_F)	0.073	states/eV per cell
E	-0.4883	Ry/atom
total moment	0.500	μB/atom